[1]
{
  "formula": "KLaMg14",
  "functional": "PBE-GGA",
  "state": "relaxed",
  "sg": "Amm2, No. 38",
  "ef_ev_per_atom": 0.104,
  "final_energy_ev_per_fu": -26.69,
  "lattice_angstrom": [[10.668, 0.000, 0.000], [0.000, 3.264, 5.914], [0.000, -3.264, 5.914]],
  "species": ["K", "La", "Mg", "Mg", "Mg", "Mg", "Mg", "Mg", "Mg", "Mg", "Mg", "Mg", "Mg", "Mg", "Mg", "Mg"],
  "fractional_positions": [[0.000, 0.000, 0.000], [0.000, 0.504, 0.504], [0.000, 0.005, 0.494], [0.000, 0.494, 0.005], [0.254, 0.335, 0.335], [0.254, 0.829, 0.829], [0.266, 0.343, 0.837], [0.266, 0.837, 0.343], [0.500, 0.002, 0.500], [0.500, 0.496, 0.496], [0.500, 0.500, 0.002], [0.500, 0.997, 0.997], [0.734, 0.343, 0.837], [0.734, 0.837, 0.343], [0.746, 0.335, 0.335], [0.746, 0.829, 0.829]]
}

[2]
{
  "formula": "MgBeIn3",
  "functional": "PBE-GGA",
  "state": "relaxed",
  "sg": "Pm-3m, No. 221",
  "ef_ev_per_atom": 0.284,
  "final_energy_ev_per_fu": -12.12,
  "lattice_angstrom": [[4.984, 0.000, 0.000], [0.000, 4.984, 0.000], [0.000, 0.000, 4.984]],
  "species": ["Mg", "Be", "In", "In", "In"],
  "fractional_positions": [[0.000, 0.000, 0.000], [0.500, 0.500, 0.500], [0.000, 0.500, 0.500], [0.500, 0.000, 0.500], [0.500, 0.500, 0.000]]
}

[3]
{
  "formula": "Mn2ZnOs",
  "functional": "PBE-GGA",
  "state": "relaxed",
  "sg": "Pmm2, No. 25",
  "ef_ev_per_atom": 0.100,
  "final_energy_ev_per_fu": -30.44,
  "lattice_angstrom": [[2.650, 0.000, 0.000], [0.000, 3.718, 0.000], [0.000, 0.000, 5.350]],
  "species": ["Mn", "Mn", "Zn", "Os"],
  "fractional_positions": [[0.000, 0.000, 0.000], [0.500, 0.500, 0.252], [0.500, 0.500, 0.756], [0.000, 0.000, 0.491]]
}